Entry 1:
A plane-wave DFT calculation with PBE was carried out for an optimized crystal structure of ScTc2PC.

Cell lengths 6.339, 6.339, 7.091 Å; angles 90.00, 90.00, 150.97 degrees
Sites, in units of the cell vectors:
1 Sc 0.028 0.972 0.750
2 Sc 0.972 0.028 0.250
3 Tc 0.345 0.655 0.544
4 Tc 0.345 0.655 0.956
5 Tc 0.655 0.345 0.044
6 Tc 0.655 0.345 0.456
7 P 0.251 0.749 0.250
8 P 0.749 0.251 0.750
9 C 0.500 0.500 0.000
10 C 0.500 0.500 0.500

Computed properties:
volume	13.83	Å³ per atom
DFT total energy	-8.914	eV per atom
DFT formation energy	-55.41	kJ per mole of atoms

***

Entry 2:
A plane-wave DFT calculation with PBE was carried out for an optimized crystal structure of Sc8Te4P3C.

Cell lengths 7.971, 7.971, 7.971 Å; angles 57.55, 57.55, 57.55 degrees
Sites, in units of the cell vectors:
1 Sc 0.235 0.235 0.235
2 Sc 0.258 0.719 0.719
3 Sc 0.281 0.281 0.742
4 Sc 0.281 0.742 0.281
5 Sc 0.719 0.258 0.719
6 Sc 0.719 0.719 0.258
7 Sc 0.742 0.281 0.281
8 Sc 0.765 0.765 0.765
9 Te 0.000 0.000 0.000
10 Te 0.000 0.500 0.500
11 Te 0.500 0.000 0.500
12 Te 0.500 0.500 0.000
13 P 0.000 0.000 0.500
14 P 0.000 0.500 0.000
15 P 0.500 0.000 0.000
16 C 0.500 0.500 0.500

Computed properties:
volume	21.12	Å³ per atom
formation energy (no corrections)	-1.244	eV per atom
DFT total energy	-6.786	eV per atom

***

Entry 3:
A plane-wave DFT calculation with PBE was carried out for an optimized crystal structure of PCSe3.

Cell lengths 4.388, 4.388, 4.388 Å; angles 90.00, 90.00, 90.00 degrees
Sites, in units of the cell vectors:
1 P 0.000 0.000 0.000
2 C 0.500 0.500 0.500
3 Se 0.000 0.500 0.500
4 Se 0.500 0.000 0.500
5 Se 0.500 0.500 0.000

Computed properties:
ΔE to the lowest computed polymorph	0	meV/atom
volume	16.90	Å³ per atom
formation energy (no corrections)	1.288	eV per atom
DFT total energy	-3.730	eV per atom

***

Among the records above, which one has the lowest volume? ScTc2PC